{
  "formula": "DyHo3Ru",
  "functional": "PBE",
  "state": "optimized geometry",
  "cell": [[7.590, 0.000, 0.000], [0.000, 6.354, 0.000], [0.000, 0.000, 6.168]],
  "species": ["Dy", "Dy", "Ho", "Ho", "Ho", "Ho", "Ho", "Ho", "Ru", "Ru"],
  "fractional_positions": [[0.000, 0.156, 0.000], [0.500, 0.844, 0.500], [0.000, 0.843, 0.491], [0.250, 0.320, 0.496], [0.250, 0.680, 0.996], [0.500, 0.157, 0.991], [0.750, 0.320, 0.496], [0.750, 0.680, 0.996], [0.000, 0.500, 0.745], [0.500, 0.500, 0.245]],
  "polymorph_energy_ev_per_atom": 0.000,
  "mass_density_g_cm3": 8.466
}